DFT (SCAN) results for MoPS2N at its PBEsol-relaxed geometry. Values from VASP.

The structure in Quantum ESPRESSO input format:
```
&SYSTEM
  ibrav = 0, nat = 5, ntyp = 4
/
ATOMIC_SPECIES
Mo 95.94 Mo.upf
P 30.97 P.upf
S 32.06 S.upf
N 14.01 N.upf
CELL_PARAMETERS angstrom
4.565 0.000 0.000
0.000 4.565 0.000
0.000 0.000 4.749
ATOMIC_POSITIONS angstrom
Mo 0.000 0.000 0.000
P 0.000 0.000 2.375
S 0.000 2.282 0.000
S 2.282 0.000 0.000
N 2.282 2.282 2.375
```

Values from the calculation:
ΔE_f (raw)	1.102	eV per atom